This record from Alexandria describes an optimized crystal structure of Cs2KCd. The functional is PBE-GGA.

Structure (CIF):
```
data_Cs2KCd
_chemical_formula_sum 'Cs6 K3 Cd3'
_cell_length_a 5.1746
_cell_length_b 5.1746
_cell_length_c 39.5356
_cell_angle_alpha 90.00
_cell_angle_beta 90.00
_cell_angle_gamma 120.00
_symmetry_space_group_name_H-M 'R 3 m'
_symmetry_Int_Tables_number 160
_symmetry_space_group_name_Hall 'R 3 -2"'
loop_
_atom_site_label
_atom_site_fract_x
_atom_site_fract_y
_atom_site_fract_z
Cs1 0.0000 0.0000 0.0000
Cs2 0.0000 0.0000 0.2056
K1 0.0000 0.0000 0.7692
Cd1 0.0000 0.0000 0.6029
```

## Properties
size of the total moment: 0.00 μB/f.u.
energy of formation from the pure elements: 0.0475 eV per atom


This record from Alexandria describes an optimized crystal structure of Sc4SnIrPd2. The functional is PBE-GGA.

Structure (CIF):
```
data_Sc4SnIrPd2
_chemical_formula_sum 'Sc12 Sn3 Ir3 Pd6'
_cell_length_a 4.7394
_cell_length_b 4.7394
_cell_length_c 23.3451
_cell_angle_alpha 90.00
_cell_angle_beta 90.00
_cell_angle_gamma 120.00
_symmetry_space_group_name_H-M 'R -3 m'
_symmetry_Int_Tables_number 166
_symmetry_space_group_name_Hall '-R 3 2"'
loop_
_atom_site_label
_atom_site_fract_x
_atom_site_fract_y
_atom_site_fract_z
Sc1 0.0000 0.0000 0.1156
Sc2 0.0000 0.0000 0.3680
Sn1 0.0000 0.0000 0.5000
Ir1 0.0000 0.0000 0.0000
Pd1 0.0000 0.0000 0.2431
```

## Properties
size of the total moment: 0.00 μB/f.u.
energy of formation from the pure elements: -0.8742 eV per atom


This record from Alexandria describes an optimized crystal structure of Sr2Ti2Ir. The functional is PBE-GGA.

Structure (CIF):
```
data_Sr2Ti2Ir
_chemical_formula_sum 'Sr4 Ti4 Ir2'
_cell_length_a 8.957
_cell_length_b 8.957
_cell_length_c 3.199
_cell_angle_alpha 90.00
_cell_angle_beta 90.00
_cell_angle_gamma 90.00
_symmetry_space_group_name_H-M 'P 4/m b m'
_symmetry_Int_Tables_number 127
_symmetry_space_group_name_Hall '-P 4 2ab'
loop_
_atom_site_label
_atom_site_fract_x
_atom_site_fract_y
_atom_site_fract_z
Sr1 0.208 0.292 0.000
Ti1 0.088 0.588 0.500
Ir1 0.000 0.000 0.000
```

## Properties
size of the total moment: 0.16 μB/f.u.
energy of formation from the pure elements: 1.1837 eV per atom


This record from Alexandria describes an optimized crystal structure of NaNiAsSe3. The functional is PBE-GGA.

Structure (CIF):
```
data_NaNiAsSe3
_chemical_formula_sum 'Na2 Ni2 As2 Se6'
_cell_length_a 8.600
_cell_length_b 3.914
_cell_length_c 8.819
_cell_angle_alpha 90.00
_cell_angle_beta 97.88
_cell_angle_gamma 90.00
_symmetry_space_group_name_H-M 'P 1 21/m 1'
_symmetry_Int_Tables_number 11
loop_
_symmetry_equiv_pos_as_xyz
'x,y,z'
'-x,-y,-z'
'-x,y+1/2,-z'
'x,-y+1/2,z'
loop_
_atom_site_label
_atom_site_fract_x
_atom_site_fract_y
_atom_site_fract_z
Na1 0.154 0.250 0.215
Ni1 0.074 0.250 0.583
As1 0.350 0.750 0.870
Se1 0.140 0.250 0.858
Se2 0.194 0.750 0.506
Se3 0.410 0.750 0.147
```

## Properties
size of the total moment: 1.17 μB/f.u.
formation energy from raw total energies: -387 meV/atom


This record from Alexandria describes an optimized crystal structure of HfRhN2O. The functional is PBE-GGA.

Structure (CIF):
```
data_HfRhN2O
_chemical_formula_sum 'Hf1 Rh1 N2 O1'
_cell_length_a 3.858
_cell_length_b 3.858
_cell_length_c 3.855
_cell_angle_alpha 90.00
_cell_angle_beta 90.00
_cell_angle_gamma 90.00
_symmetry_space_group_name_H-M 'P 4/m m m'
_symmetry_Int_Tables_number 123
_symmetry_space_group_name_Hall '-P 4 2'
loop_
_atom_site_label
_atom_site_fract_x
_atom_site_fract_y
_atom_site_fract_z
Hf1 0.000 0.000 0.000
Rh1 0.500 0.500 0.500
N1 0.000 0.500 0.500
O1 0.500 0.500 0.000
```

## Properties
size of the total moment: 0.00 μB/f.u.
formation energy from raw total energies: 135 meV/atom


This record from Alexandria describes an optimized crystal structure of Ag2BSb. The functional is PBE-GGA.

Structure (CIF):
```
data_Ag2BSb
_chemical_formula_sum 'Ag8 B4 Sb4'
_cell_length_a 4.823
_cell_length_b 4.823
_cell_length_c 14.235
_cell_angle_alpha 90.00
_cell_angle_beta 90.00
_cell_angle_gamma 90.00
_symmetry_space_group_name_H-M 'I -4 2 d'
_symmetry_Int_Tables_number 122
_symmetry_space_group_name_Hall 'I -4 2bw'
loop_
_atom_site_label
_atom_site_fract_x
_atom_site_fract_y
_atom_site_fract_z
Ag1 0.136 0.250 0.125
B1 0.000 0.000 0.000
Sb1 0.000 0.000 0.500
```

## Properties
size of the total moment: 0.00 μB/f.u.
formation energy from raw total energies: 805 meV/atom


This record from Alexandria describes an optimized crystal structure of Cs2SmAuO4. The functional is PBE-GGA.

Structure (CIF):
```
data_Cs2SmAuO4
_chemical_formula_sum 'Cs16 Sm8 Au8 O32'
_cell_length_a 6.329
_cell_length_b 14.811
_cell_length_c 23.803
_cell_angle_alpha 90.00
_cell_angle_beta 90.00
_cell_angle_gamma 90.00
_symmetry_space_group_name_H-M 'F d d d'
_symmetry_Int_Tables_number 70
loop_
_symmetry_equiv_pos_as_xyz
'x,y,z'
'-x,-y,-z'
'-x+1/4,-y+1/4,z'
'x+1/4,y+1/4,-z'
'x,-y+1/4,-z+1/4'
'-x,y+1/4,z+1/4'
'-x+1/4,y,-z+1/4'
'x+1/4,-y,z+1/4'
'x,y+1/2,z+1/2'
'-x,-y+1/2,-z+1/2'
'-x+1/4,-y+3/4,z+1/2'
'x+1/4,y+3/4,-z+1/2'
'x,-y+3/4,-z+3/4'
'-x,y+3/4,z+3/4'
'-x+1/4,y+1/2,-z+3/4'
'x+1/4,-y+1/2,z+3/4'
'x+1/2,y,z+1/2'
'-x+1/2,-y,-z+1/2'
'-x+3/4,-y+1/4,z+1/2'
'x+3/4,y+1/4,-z+1/2'
'x+1/2,-y+1/4,-z+3/4'
'-x+1/2,y+1/4,z+3/4'
'-x+3/4,y,-z+3/4'
'x+3/4,-y,z+3/4'
'x+1/2,y+1/2,z'
'-x+1/2,-y+1/2,-z'
'-x+3/4,-y+3/4,z'
'x+3/4,y+3/4,-z'
'x+1/2,-y+3/4,-z+1/4'
'-x+1/2,y+3/4,z+1/4'
'-x+3/4,y+1/2,-z+1/4'
'x+3/4,-y+1/2,z+1/4'
loop_
_atom_site_label
_atom_site_fract_x
_atom_site_fract_y
_atom_site_fract_z
Cs1 0.125 0.125 0.311
Sm1 0.125 0.125 0.125
Au1 0.125 0.125 0.625
O1 0.106 0.277 0.873
```

## Properties
size of the total moment: 0.00 μB/f.u.
formation energy from raw total energies: -1338 meV/atom


This record from Alexandria describes an optimized crystal structure of Zr2TcB. The functional is PBE-GGA.

Structure (CIF):
```
data_Zr2TcB
_chemical_formula_sum 'Zr8 Tc4 B4'
_cell_length_a 8.622
_cell_length_b 8.622
_cell_length_c 4.084
_cell_angle_alpha 90.00
_cell_angle_beta 90.00
_cell_angle_gamma 90.00
_symmetry_space_group_name_H-M 'I -4 2 d'
_symmetry_Int_Tables_number 122
_symmetry_space_group_name_Hall 'I -4 2bw'
loop_
_atom_site_label
_atom_site_fract_x
_atom_site_fract_y
_atom_site_fract_z
Zr1 0.105 0.750 0.125
Tc1 0.000 0.000 0.500
B1 0.000 0.000 0.000
```

## Properties
size of the total moment: 0.00 μB/f.u.
energy of formation from the pure elements: 0.1108 eV per atom